[1]
Ca2Pr4Sb3N2 | GGA-PBE | optimized geometry

Lattice parameters (Å, degrees): 13.215 13.215 13.215 158.46 158.46 30.65
Fractional coordinates of all 11 atoms:
Ca 0.195 0.195 0.000
Ca 0.805 0.805 0.000
Pr 0.087 0.587 0.500
Pr 0.413 0.913 0.500
Pr 0.587 0.087 0.500
Pr 0.913 0.413 0.500
Sb 0.322 0.322 0.000
Sb 0.500 0.500 0.000
Sb 0.678 0.678 0.000
N 0.103 0.103 0.000
N 0.897 0.897 0.000

Total energy, eV/cell: -64.1
Formation energy (no corrections), eV/atom: -1.087

---

[2]
CaPrSbN | GGA-PBE | optimized geometry

Lattice parameters (Å, degrees): 4.679 4.679 9.172 90.00 90.00 90.00
Fractional coordinates of all 8 atoms:
Ca 0.250 0.750 0.000
Ca 0.750 0.250 0.000
Pr 0.250 0.250 0.321
Pr 0.750 0.750 0.679
Sb 0.250 0.250 0.691
Sb 0.750 0.750 0.309
N 0.250 0.250 0.082
N 0.750 0.750 0.918

Total energy, eV/cell: -46.0
Formation energy (no corrections), eV/atom: -0.944

---

[3]
CaPrSiN3 | GGA-PBE | optimized geometry

Lattice parameters (Å, degrees): 6.622 6.622 7.150 105.85 105.85 33.43
Fractional coordinates of all 12 atoms:
Ca 0.150 0.150 0.071
Ca 0.850 0.850 0.929
Pr 0.150 0.150 0.581
Pr 0.850 0.850 0.419
Si 0.499 0.499 0.756
Si 0.501 0.501 0.244
N 0.003 0.003 0.251
N 0.350 0.350 0.679
N 0.354 0.354 0.173
N 0.646 0.646 0.827
N 0.650 0.650 0.321
N 0.997 0.997 0.749

Total energy, eV/cell: -85.1
Formation energy (no corrections), eV/atom: -0.897

---

[4]
Ca2PrSnN | GGA-PBE | optimized geometry

Lattice parameters (Å, degrees): 4.888 4.888 5.091 90.00 90.00 90.00
Fractional coordinates of all 5 atoms:
Ca 0.000 0.500 0.000
Ca 0.500 0.000 0.000
Pr 0.000 0.000 0.500
Sn 0.500 0.500 0.500
N 0.000 0.000 0.000

Total energy, eV/cell: -25.9
Formation energy (no corrections), eV/atom: -0.961

---

[5]
CaPr2SnN | GGA-PBE | optimized geometry

Lattice parameters (Å, degrees): 5.072 5.072 4.885 90.00 90.00 90.00
Fractional coordinates of all 5 atoms:
Ca 0.000 0.000 0.000
Pr 0.000 0.500 0.500
Pr 0.500 0.000 0.500
Sn 0.500 0.500 0.000
N 0.000 0.000 0.500

Total energy, eV/cell: -28.6
Formation energy (no corrections), eV/atom: -0.942

---

[6]
Ca12PrSn4N3 | GGA-PBE | optimized geometry

Lattice parameters (Å, degrees): 8.781 8.781 8.781 109.47 109.47 109.47
Fractional coordinates of all 20 atoms:
Ca 0.000 0.284 0.284
Ca 0.000 0.716 0.716
Ca 0.250 0.500 0.750
Ca 0.250 0.750 0.500
Ca 0.284 0.000 0.284
Ca 0.284 0.284 0.000
Ca 0.500 0.250 0.750
Ca 0.500 0.750 0.250
Ca 0.716 0.000 0.716
Ca 0.716 0.716 0.000
Ca 0.750 0.250 0.500
Ca 0.750 0.500 0.250
Pr 0.000 0.000 0.000
Sn 0.000 0.000 0.500
Sn 0.000 0.500 0.000
Sn 0.500 0.000 0.000
Sn 0.500 0.500 0.500
N 0.000 0.500 0.500
N 0.500 0.000 0.500
N 0.500 0.500 0.000

Total energy, eV/cell: -79.8
Formation energy (no corrections), eV/atom: -0.503